(1)
AlSb3: optimized geometry, PBE.

abc: 5.338 5.338 5.338
angles: 90.00 90.00 90.00
Space group Pm-3m (No. 221)
Unique sites:
1 Al 0.000 0.000 0.000 [1 per cell]
2 Sb 0.000 0.000 0.500 [3 per cell]

Energy above the most stable polymorph in this dataset, meV/atom: 590.7
Crystal system: cubic
ΔE_f (raw), eV/f.u.: 2.6
Raw total energy, eV for the cell shown: -13.5


(2)
CoTeAu2: optimized geometry, PBE.

abc: 3.6212 3.6212 7.3168
angles: 90.00 90.00 120.00
Space group P3m1 (No. 156)
Unique sites:
1 Co 0.0000 0.0000 0.0000 [1 per cell]
2 Te 0.6667 0.3333 0.8292 [1 per cell]
3 Au 0.3333 0.6667 0.2117 [1 per cell]
4 Au 0.6667 0.3333 0.4642 [1 per cell]

Crystal system: trigonal
ΔE_f (raw), eV/f.u.: 0.6
Raw total energy, eV for the cell shown: -16.2


(3)
Cu2HgP: optimized geometry, PBE.

abc: 4.075 4.075 3.713
angles: 90.00 90.00 90.00
Space group P4/mmm (No. 123)
Unique sites:
1 Cu 0.000 0.500 0.000 [2 per cell]
2 Hg 0.000 0.000 0.500 [1 per cell]
3 P 0.500 0.500 0.500 [1 per cell]

ΔH_f (0 K), eV per formula unit: 1.32
Crystal system: tetragonal
Raw total energy, eV for the cell shown: -12.6


(4)
CaCe2Rh3: optimized geometry, PBE.

abc: 3.494 3.494 10.423
angles: 90.00 90.00 90.00
Space group P4/mmm (No. 123)
Unique sites:
1 Ca 0.000 0.000 0.000 [1 per cell]
2 Ce 0.000 0.000 0.333 [2 per cell]
3 Rh 0.500 0.500 0.193 [2 per cell]
4 Rh 0.500 0.500 0.500 [1 per cell]

ΔH_f (0 K), eV per formula unit: -3.88
Crystal system: tetragonal
Raw total energy, eV for the cell shown: -39.8


(5)
BaSb2: optimized geometry, PBE.

abc: 11.818 4.457 12.646
angles: 90.00 100.71 90.00
Space group P2_1/m (No. 11)
Unique sites:
1 Ba 0.062 0.250 0.267 [2 per cell]
2 Ba 0.287 0.750 0.057 [2 per cell]
3 Ba 0.377 0.250 0.583 [2 per cell]
4 Sb 0.054 0.250 0.951 [2 per cell]
5 Sb 0.070 0.250 0.553 [2 per cell]
6 Sb 0.250 0.750 0.767 [2 per cell]
7 Sb 0.298 0.750 0.359 [2 per cell]
8 Sb 0.396 0.250 0.864 [2 per cell]
9 Sb 0.415 0.250 0.268 [2 per cell]

Crystal system: monoclinic
ΔE_f (raw), eV/f.u.: -2.2
Raw total energy, eV for the cell shown: -74.0


(6)
MnAuCl2: optimized geometry, PBE.

abc: 4.558 4.558 3.711
angles: 90.00 90.00 90.00
Space group P4/mmm (No. 123)
Unique sites:
1 Mn 0.000 0.000 0.000 [1 per cell]
2 Au 0.500 0.500 0.000 [1 per cell]
3 Cl 0.000 0.500 0.500 [2 per cell]

Energy above the most stable polymorph in this dataset, meV/atom: 548.8
Crystal system: tetragonal
ΔE_f (raw), eV/f.u.: 0.5
Raw total energy, eV for the cell shown: -15.7


(7)
Cd2SnHg2: optimized geometry, PBE.

abc: 8.713 8.713 3.301
angles: 90.00 90.00 90.00
Space group P4/mbm (No. 127)
Unique sites:
1 Cd 0.129 0.371 0.000 [4 per cell]
2 Sn 0.000 0.000 0.500 [2 per cell]
3 Hg 0.170 0.670 0.500 [4 per cell]

Energy above the most stable polymorph in this dataset, meV/atom: 25.2
ΔH_f (0 K), eV per formula unit: 0.36
Crystal system: tetragonal
Raw total energy, eV for the cell shown: -12.1


(8)
NaSnSbCl6: optimized geometry, PBE.

abc: 6.591 6.591 12.603
angles: 90.00 90.00 90.00
Space group P4_2nm (No. 102)
Unique sites:
1 Na 0.000 0.000 0.000 [2 per cell]
2 Sn 0.000 0.000 0.668 [2 per cell]
3 Sb 0.000 0.000 0.333 [2 per cell]
4 Cl 0.193 0.193 0.176 [4 per cell]
5 Cl 0.193 0.193 0.492 [4 per cell]
6 Cl 0.211 0.211 0.834 [4 per cell]

Crystal system: tetragonal
ΔE_f (raw), eV/f.u.: -10.0
Raw total energy, eV for the cell shown: -61.0


Q: Number 5 is which compound?
A: BaSb2